Density functional theory data (PBE) for UNi3P3 after structural relaxation.

Lattice parameters (Å, degrees): 6.0610 6.0610 6.0610 90.00 90.00 90.00
With the nearest neighbours (Å) after each atom.
Sites, in units of the cell vectors:
U 0.0000 0.0000 0.0000  12 Ni 3.39, 12 P 3.39
U 0.5000 0.5000 0.5000  12 Ni 3.39, 12 P 3.39
Ni 0.0000 0.2500 0.5000  4 P 2.14
Ni 0.0000 0.7500 0.5000  4 P 2.14
Ni 0.2500 0.5000 0.0000  4 P 2.14
Ni 0.5000 0.0000 0.2500  4 P 2.14
Ni 0.5000 0.0000 0.7500  4 P 2.14
Ni 0.7500 0.5000 0.0000  4 P 2.14
P 0.0000 0.5000 0.2500  4 Ni 2.14
P 0.0000 0.5000 0.7500  4 Ni 2.14
P 0.2500 0.0000 0.5000  4 Ni 2.14
P 0.5000 0.2500 0.0000  4 Ni 2.14
P 0.5000 0.7500 0.0000  4 Ni 2.14
P 0.7500 0.0000 0.5000  4 Ni 2.14

Polymorph energy (0 for the lowest one) ... 206 meV per atom
Energy of formation from the pure elements ... -411 meV/atom
Theoretical density ... 7.56 Mg/m³
Calculated volume ... 15.9 A^3/atom
Total DFT energy (no corrections) ... -95.5 eV for the cell shown